# 1
The following is a PBE calculation of a relaxed CaBe2SiIr crystal, from the Alexandria database.

Electronic total energy ... -5.118 eV/atom
Magnetic moment ... 0.00 μB/f.u.
Raw formation energy ... -0.3707 eV/atom

Cell: 5.827 5.827 5.827 Å, 141.94 141.50 55.25°
Sites, in units of the cell vectors:
Ca 0.000 0.000 0.000
Be 0.379 0.379 0.000
Be 0.753 0.253 0.500
Si 0.622 0.622 0.000
Ir 0.258 0.758 0.500

=====

# 2
The following is a PBE calculation of a relaxed RhPbF2 crystal, from the Alexandria database.

Electronic total energy ... -4.461 eV/atom
Excess energy over the best structure of this formula in the dataset ... 18.8 kJ/mol of atoms
Magnetic moment ... 2.30 μB/f.u.
Raw formation energy ... -0.7599 eV/atom

Cell: 7.839 7.839 7.839 Å, 25.16 25.16 25.16°
Sites, in units of the cell vectors:
Rh 0.000 0.000 0.000
Pb 0.500 0.500 0.500
F 0.391 0.391 0.391
F 0.609 0.609 0.609

=====

# 3
The following is a PBE calculation of a relaxed NiRh2 crystal, from the Alexandria database.

Electronic total energy ... -6.364 eV/atom
Excess energy over the best structure of this formula in the dataset ... 40.9 kJ/mol of atoms
Magnetic moment ... 1.94 μB/f.u.
Energy relative to the elements ... 464 meV/atom

Cell: 5.045 5.045 8.163 Å, 90.00 90.00 120.00°
Sites, in units of the cell vectors:
Ni 0.333 0.667 0.092
Ni 0.333 0.667 0.408
Ni 0.667 0.333 0.592
Ni 0.667 0.333 0.908
Rh 0.000 0.000 0.000
Rh 0.000 0.000 0.500
Rh 0.172 0.343 0.750
Rh 0.172 0.828 0.750
Rh 0.343 0.172 0.250
Rh 0.657 0.828 0.750
Rh 0.828 0.172 0.250
Rh 0.828 0.657 0.250

=====

# 4
The following is a PBE calculation of a relaxed PaInSnBi crystal, from the Alexandria database.

Electronic total energy ... -5.164 eV/atom
Magnetic moment ... 0.00 μB/f.u.
Energy relative to the elements ... -135 meV/atom

Cell: 6.220 6.220 4.460 Å, 110.90 110.90 42.03°
Sites, in units of the cell vectors:
Pa 0.000 0.000 0.000
In 0.750 0.750 0.250
Sn 0.250 0.250 0.751
Bi 0.500 0.500 0.500

=====

# 5
The following is a PBE calculation of a relaxed PuTl2Se3 crystal, from the Alexandria database.

Electronic total energy ... -5.716 eV/atom
Excess energy over the best structure of this formula in the dataset ... 6.1 kJ/mol of atoms
Magnetic moment ... 4.03 μB/f.u.
Raw formation energy ... -0.7959 eV/atom

Cell: 8.401 8.401 4.233 Å, 90.00 90.00 137.70°
Sites, in units of the cell vectors:
Pu 0.000 0.000 0.000
Tl 0.349 0.651 0.500
Tl 0.651 0.349 0.500
Se 0.118 0.882 0.500
Se 0.500 0.500 0.000
Se 0.882 0.118 0.500

=====

# 6
The following is a PBE calculation of a relaxed TlInPtO6 crystal, from the Alexandria database.

Electronic total energy ... -5.192 eV/atom
Magnetic moment ... 1.00 μB/f.u.
Raw formation energy ... -0.6480 eV/atom

Cell: 4.884 4.884 10.124 Å, 90.00 90.00 90.00°
Sites, in units of the cell vectors:
Tl 0.000 0.000 0.000
Tl 0.500 0.500 0.500
In 0.000 0.000 0.334
In 0.500 0.500 0.834
Pt 0.000 0.000 0.668
Pt 0.500 0.500 0.168
O 0.180 0.180 0.514
O 0.189 0.189 0.816
O 0.218 0.218 0.173
O 0.282 0.718 0.673
O 0.311 0.689 0.316
O 0.320 0.680 0.014
O 0.680 0.320 0.014
O 0.689 0.311 0.316
O 0.718 0.282 0.673
O 0.782 0.782 0.173
O 0.811 0.811 0.816
O 0.820 0.820 0.514

=====

# 7
The following is a PBE calculation of a relaxed CeSi2Tc2Ir crystal, from the Alexandria database.

Electronic total energy ... -7.686 eV/atom
Magnetic moment ... 0.00 μB/f.u.
Raw formation energy ... 0.0426 eV/atom

Cell: 4.630 4.630 5.238 Å, 90.00 90.00 90.00°
Sites, in units of the cell vectors:
Ce 0.000 0.000 0.000
Si 0.000 0.500 0.500
Si 0.500 0.000 0.500
Tc 0.500 0.500 0.234
Tc 0.500 0.500 0.766
Ir 0.000 0.000 0.500

=====

# 8
The following is a PBE calculation of a relaxed Sr2AcPaAs4 crystal, from the Alexandria database.

Electronic total energy ... -5.686 eV/atom
Magnetic moment ... 0.07 μB/f.u.
Energy relative to the elements ... -1240 meV/atom

Cell: 7.626 4.407 7.646 Å, 90.00 109.36 90.00°
Sites, in units of the cell vectors:
Sr 0.000 0.000 0.000
Sr 0.000 0.500 0.500
Ac 0.500 0.000 0.500
Pa 0.500 0.500 0.000
As 0.271 0.500 0.230
As 0.280 0.000 0.781
As 0.720 0.000 0.219
As 0.729 0.500 0.770

=====

# 9
The following is a PBE calculation of a relaxed LaBeHg crystal, from the Alexandria database.

Electronic total energy ... -2.925 eV/atom
Excess energy over the best structure of this formula in the dataset ... 16.8 kJ/mol of atoms
Magnetic moment ... 0.00 μB/f.u.
Energy relative to the elements ... 60 meV/atom

Cell: 6.298 6.298 6.298 Å, 149.13 149.13 44.22°
Sites, in units of the cell vectors:
La 0.000 0.000 0.000
Be 0.317 0.317 0.000
Hg 0.711 0.711 0.000

=====

# 10
The following is a PBE calculation of a relaxed Ba2CoSnN crystal, from the Alexandria database.

Electronic total energy ... -5.023 eV/atom
Magnetic moment ... 0.43 μB/f.u.
Raw formation energy ... -0.3675 eV/atom

Cell: 6.106 6.106 3.549 Å, 90.00 90.00 90.00°
Sites, in units of the cell vectors:
Ba 0.000 0.500 0.000
Ba 0.500 0.000 0.000
Co 0.000 0.000 0.500
Sn 0.500 0.500 0.500
N 0.000 0.000 0.000

=====

# 11
The following is a PBE calculation of a relaxed HgAu3O crystal, from the Alexandria database.

Electronic total energy ... -2.670 eV/atom
Excess energy over the best structure of this formula in the dataset ... 0.0 kJ/mol of atoms
Magnetic moment ... 0.00 μB/f.u.
Raw formation energy ... 0.3486 eV/atom

Cell: 4.580 4.580 4.580 Å, 90.00 90.00 90.00°
Sites, in units of the cell vectors:
Hg 0.000 0.000 0.000
Au 0.000 0.500 0.500
Au 0.500 0.000 0.500
Au 0.500 0.500 0.000
O 0.500 0.500 0.500

=====

# 12
The following is a PBE calculation of a relaxed Li2PmAlSn2 crystal, from the Alexandria database.

Electronic total energy ... -3.829 eV/atom
Magnetic moment ... 0.00 μB/f.u.
Energy relative to the elements ... -442 meV/atom

Cell: 4.474 8.418 7.545 Å, 90.00 90.00 90.00°
Sites, in units of the cell vectors:
Li 0.000 0.076 0.000
Li 0.000 0.924 0.500
Li 0.500 0.165 0.333
Li 0.500 0.835 0.833
Pm 0.500 0.441 0.966
Pm 0.500 0.559 0.466
Al 0.000 0.321 0.636
Al 0.000 0.679 0.136
Sn 0.000 0.352 0.254
Sn 0.000 0.648 0.754
Sn 0.500 0.143 0.708
Sn 0.500 0.857 0.208